29
Lattice="0.000 7.870 7.870 7.870 0.000 7.870 7.870 7.870 0.000" Properties=species:S:1:pos:R:3 comment="Sm7Dy16Tm6 PBE-GGA optimized geometry" sg=Fm-3m final_energy_ev_per_cell=-125.91 crystal_system=cubic delta_e_f_ev_per_atom=0.2615 pbc="T T T"
Sm 0.000 0.000 0.000
Sm 3.935 3.935 0.000
Sm 3.935 0.000 3.935
Sm 7.870 3.935 3.935
Sm 0.000 3.935 3.935
Sm 3.935 7.870 3.935
Sm 3.935 3.935 7.870
Dy 10.234 5.506 5.506
Dy 1.984 1.984 1.984
Dy 5.886 5.886 1.984
Dy 5.886 1.984 5.886
Dy 5.506 5.506 5.506
Dy 10.234 10.234 5.506
Dy 10.234 5.506 10.234
Dy 13.757 9.854 9.854
Dy 1.984 5.886 5.886
Dy 5.506 10.234 5.506
Dy 5.506 5.506 10.234
Dy 10.234 10.234 10.234
Dy 9.854 13.757 9.854
Dy 9.854 9.854 13.757
Dy 13.757 13.757 13.757
Dy 5.506 10.234 10.234
Tm 7.870 7.870 4.165
Tm 7.870 4.165 7.870
Tm 11.575 7.870 7.870
Tm 4.165 7.870 7.870
Tm 7.870 11.575 7.870
Tm 7.870 7.870 11.575